VASP calculation (PBE-GGA) on a geometry-optimized TbEr2Rh3 structure.

Unit cell a=4.8251 b=4.8251 c=11.7904 alpha=90.00 beta=90.00 gamma=120.00
Space group P-3m1 (No. 164)
Asymmetric unit:
Tb1 0.3333 0.6667 0.1675
Er1 0.0000 0.0000 0.0000
Er2 0.0000 0.0000 0.5000
Er3 0.3333 0.6667 0.6652
Rh1 0.0000 0.0000 0.2517
Rh2 0.3333 0.6667 0.4181
Rh3 0.3333 0.6667 0.9165

DFT formation energy = -906 meV per atom
raw total energy = -41.25 eV/f.u.
D(E_F) = 0.65 states/eV per atom